The following is a DFT calculation (PBE) of a relaxed structure of InRe2Rh.

Values from the calculation:
ρ ... 15161 kg/m3
Uncorrected energy ... -8.369 eV/atom

a = 2.828 Å, b = 4.226 Å, c = 5.409 Å
α = 90.00°, β = 90.00°, γ = 90.00°
Space group Pmmm (No. 47)
Inequivalent atoms, fractional coordinates:
In 0.000 0.000 0.000
Re 0.500 0.500 0.273
Rh 0.000 0.000 0.500